Density functional theory data (GGA-PBE) for an optimized crystal structure of TaV4W4.

uncorrected energy: -188.8 eV for the cell shown
total magnetization: 0.000 μB/atom
ΔH_f (0 K): 0.636 eV per atom
SG: No. 137

Unit cell a=5.6019 b=5.6019 c=9.7973 alpha=90.00 beta=90.00 gamma=90.00
Atoms (fractional coordinates):
V (0.5000, 0.7484, 0.7646)
V (0.2484, 0.0000, 0.2646)
V (0.7516, 0.0000, 0.2646)
V (0.2516, 0.5000, 0.2354)
V (0.7484, 0.5000, 0.2354)
V (0.5000, 0.2516, 0.7646)
V (0.0000, 0.7516, 0.7354)
V (0.0000, 0.2484, 0.7354)
W (0.5000, 0.7704, 0.0747)
W (0.0000, 0.7296, 0.4253)
W (0.7296, 0.0000, 0.5747)
W (0.5000, 0.2296, 0.0747)
W (0.2704, 0.0000, 0.5747)
W (0.7704, 0.5000, 0.9253)
W (0.0000, 0.2704, 0.4253)
W (0.2296, 0.5000, 0.9253)
Ta (0.0000, 0.0000, 0.0000)
Ta (0.5000, 0.5000, 0.5000)